YTl2In | meta-GGA SCAN | single point on PBEsol structure

Properties
* Fermi-level density of states: 0.466 states/eV per atom
* calculated density: 10.10 g/cm3
* calculated formation energy: -341 meV/atom

Cell lengths 5.8656, 5.8656, 5.8656 Å; angles 134.61, 134.61, 66.13 degrees
Positions (direct):
1 Y 0.0000 0.0000 0.0000
2 Tl 0.2500 0.7500 0.5000
3 Tl 0.7500 0.2500 0.5000
4 In 0.5000 0.5000 0.0000